# 1
This record from Alexandria describes Na3Sb3Au2 after structural relaxation. The functional is PBE.

Cell: 4.6710 6.1366 15.7395 Å, 90.00 90.00 112.37°
Fractional positions:
Na 0.9194 0.8389 0.3796
Na 0.0806 0.1611 0.8796
Na 0.9194 0.8389 0.1204
Na 0.0806 0.1611 0.6204
Na 0.6334 0.2668 0.2500
Na 0.3666 0.7332 0.7500
Sb 0.6194 0.2388 0.4675
Sb 0.3806 0.7612 0.9675
Sb 0.6194 0.2388 0.0325
Sb 0.3806 0.7612 0.5325
Sb 0.3389 0.6778 0.2500
Sb 0.6611 0.3222 0.7500
Au 0.7950 0.5899 0.8933
Au 0.2050 0.4101 0.3933
Au 0.7950 0.5899 0.6067
Au 0.2050 0.4101 0.1067

Output
* magnetization: 0.00 Bohr magnetons per cell
* E_form (uncorrected): -2.73 eV per formula unit
* symmetry: Cmcm (63)
* N(E_F): 6.38 states/eV per cell

***

# 2
This record from Alexandria describes Na3SbAu after structural relaxation. The functional is PBE.

Cell: 8.5412 5.7464 11.5652 Å, 95.27 90.00 90.00°
Fractional positions:
Na 0.9381 0.3303 0.3587
Na 0.0619 0.6697 0.6413
Na 0.4381 0.6697 0.1413
Na 0.5619 0.3303 0.8587
Na 0.4655 0.1635 0.3411
Na 0.5345 0.8365 0.6589
Na 0.9655 0.8365 0.1589
Na 0.0345 0.1635 0.8411
Na 0.7322 0.3414 0.5869
Na 0.2678 0.6586 0.4131
Na 0.2322 0.6586 0.9131
Na 0.7678 0.3414 0.0869
Sb 0.1428 0.3516 0.1510
Sb 0.8572 0.6484 0.8490
Sb 0.6428 0.6484 0.3490
Sb 0.3572 0.3516 0.6510
Au 0.8825 0.8743 0.4502
Au 0.1175 0.1257 0.5498
Au 0.3825 0.1257 0.0498
Au 0.6175 0.8743 0.9502

Output
* magnetization: 0.00 Bohr magnetons per cell
* E_form (uncorrected): -1.80 eV per formula unit
* symmetry: P2_1/c (14)
* N(E_F): 0.44 states/eV per cell

***

# 3
This record from Alexandria describes NaSb2Au4 after structural relaxation. The functional is PBE.

Cell: 4.8217 7.6057 17.2944 Å, 90.01 90.01 90.00°
Fractional positions:
Na 0.7498 0.9704 0.6442
Na 0.2502 0.0296 0.3558
Na 0.2503 0.4703 0.8558
Na 0.7497 0.5297 0.1442
Sb 0.2499 0.7177 0.5125
Sb 0.7501 0.2823 0.4875
Sb 0.7501 0.2177 0.9876
Sb 0.2499 0.7823 0.0124
Sb 0.2501 0.9163 0.7749
Sb 0.7499 0.0837 0.2251
Sb 0.7500 0.4165 0.7253
Sb 0.2500 0.5835 0.2747
Au 0.2498 0.2210 0.6905
Au 0.7502 0.7790 0.3095
Au 0.7502 0.7212 0.8097
Au 0.2498 0.2788 0.1903
Au 0.2500 0.6044 0.6736
Au 0.7500 0.3956 0.3264
Au 0.7500 0.1047 0.8264
Au 0.2500 0.8953 0.1736
Au 0.2501 0.0950 0.5291
Au 0.7499 0.9050 0.4709
Au 0.7499 0.5949 0.9709
Au 0.2501 0.4051 0.0291
Au 0.2501 0.4106 0.4199
Au 0.7499 0.5894 0.5801
Au 0.7499 0.9105 0.0800
Au 0.2501 0.0895 0.9200

Output
* magnetization: 0.00 Bohr magnetons per cell
* E_form (uncorrected): -1.00 eV per formula unit
* symmetry: Pnma (62)
* N(E_F): 7.16 states/eV per cell

***

# 4
This record from Alexandria describes NaSb2Au3 after structural relaxation. The functional is PBE.

Cell: 4.9784 8.5497 8.5636 Å, 53.71 73.10 73.07°
Fractional positions:
Na 0.8692 0.1320 0.1296
Na 0.1308 0.8680 0.8704
Sb 0.5001 0.1882 0.8117
Sb 0.4999 0.8118 0.1883
Sb 0.8184 0.6816 0.6816
Sb 0.1816 0.3184 0.3184
Au 0.3073 0.4842 0.9012
Au 0.0005 0.3187 0.6802
Au 0.6935 0.1009 0.5121
Au 0.3065 0.8991 0.4879
Au 0.9995 0.6813 0.3198
Au 0.6927 0.5158 0.0988

Output
* magnetization: 0.00 Bohr magnetons per cell
* E_form (uncorrected): -1.03 eV per formula unit
* symmetry: C2/m (12)
* N(E_F): 4.74 states/eV per cell

***

# 5
This record from Alexandria describes Na2SbAu2 after structural relaxation. The functional is PBE.

Cell: 7.1999 7.1999 4.7311 Å, 90.00 90.00 90.00°
Fractional positions:
Sb 0.0000 0.0000 0.0000
Sb 0.5000 0.5000 0.0000
Au 0.3620 0.8620 0.0000
Au 0.8620 0.6380 0.0000
Au 0.6380 0.1380 0.0000
Au 0.1380 0.3620 0.0000
Na 0.1709 0.6709 0.5000
Na 0.6709 0.8291 0.5000
Na 0.8291 0.3291 0.5000
Na 0.3291 0.1709 0.5000

Output
* magnetization: 0.00 Bohr magnetons per cell
* E_form (uncorrected): -1.48 eV per formula unit
* symmetry: P4/mbm (127)
* N(E_F): 3.32 states/eV per cell

***

# 6
This record from Alexandria describes NaSb2Au2 after structural relaxation. The functional is PBE.

Cell: 7.9930 7.9930 3.6674 Å, 90.00 90.00 90.00°
Fractional positions:
Sb 0.1741 0.6741 0.5000
Sb 0.6741 0.8259 0.5000
Sb 0.8259 0.3259 0.5000
Sb 0.3259 0.1741 0.5000
Au 0.3703 0.8703 0.0000
Au 0.8703 0.6297 0.0000
Au 0.6297 0.1297 0.0000
Au 0.1297 0.3703 0.0000
Na 0.0000 0.0000 0.0000
Na 0.5000 0.5000 0.0000

Output
* magnetization: 0.00 Bohr magnetons per cell
* E_form (uncorrected): -0.64 eV per formula unit
* symmetry: P4/mbm (127)
* N(E_F): 3.51 states/eV per cell

***

# 7
This record from Alexandria describes Na3Sb4Au4 after structural relaxation. The functional is PBE.

Cell: 4.7548 7.3680 8.9297 Å, 114.37 105.44 90.00°
Fractional positions:
Na 0.1237 0.1237 0.2474
Na 0.8763 0.8763 0.7526
Na 0.0000 0.5000 0.0000
Sb 0.2261 0.7261 0.4522
Sb 0.7739 0.2739 0.5478
Sb 0.5000 0.8058 0.0000
Sb 0.5000 0.1942 0.0000
Au 0.3313 0.1372 0.6626
Au 0.6687 0.4747 0.3374
Au 0.6687 0.8628 0.3374
Au 0.3313 0.5253 0.6626

Output
* magnetization: 0.00 Bohr magnetons per cell
* E_form (uncorrected): -3.04 eV per formula unit
* symmetry: Immm (71)
* N(E_F): 3.46 states/eV per cell

***

# 8
This record from Alexandria describes NaSb2Au after structural relaxation. The functional is PBE.

Cell: 5.1399 5.1399 5.1399 Å, 60.00 60.00 60.00°
Fractional positions:
Sb 0.2500 0.2500 0.2500
Sb 0.7500 0.7500 0.7500
Au 0.5000 0.5000 0.5000
Na 0.0000 0.0000 0.0000

Output
* magnetization: 0.00 Bohr magnetons per cell
* E_form (uncorrected): 0.07 eV per formula unit
* symmetry: Fm-3m (225)
* N(E_F): 2.16 states/eV per cell

***

# 9
This record from Alexandria describes Na2Sb5Au3 after structural relaxation. The functional is PBE.

Cell: 7.4337 9.4196 9.4196 Å, 73.79 66.76 66.76°
Fractional positions:
Na 0.1382 0.6067 0.1168
Na 0.6382 0.1168 0.6067
Na 0.8618 0.3933 0.8832
Na 0.3618 0.8832 0.3933
Sb 0.3989 0.2480 0.9542
Sb 0.8989 0.9542 0.2480
Sb 0.6011 0.7520 0.0458
Sb 0.1011 0.0458 0.7520
Sb 0.4862 0.7638 0.7638
Sb 0.5138 0.2362 0.2362
Sb 0.7500 0.5000 0.5000
Sb 0.2500 0.5000 0.5000
Sb 0.0138 0.2362 0.2362
Sb 0.9862 0.7638 0.7638
Au 0.3664 0.5200 0.7473
Au 0.8664 0.7473 0.5200
Au 0.6336 0.4800 0.2527
Au 0.1336 0.2527 0.4800
Au 0.2500 0.0000 0.0000
Au 0.7500 0.0000 0.0000

Output
* magnetization: 0.00 Bohr magnetons per cell
* E_form (uncorrected): -1.48 eV per formula unit
* symmetry: Ibam (72)
* N(E_F): 7.54 states/eV per cell

***

# 10
This record from Alexandria describes NaSb3Au3 after structural relaxation. The functional is PBE.

Cell: 7.6520 7.6520 7.6520 Å, 90.00 90.00 90.00°
Fractional positions:
Sb 0.2500 0.0000 0.5000
Sb 0.0000 0.5000 0.2500
Sb 0.5000 0.7500 0.0000
Sb 0.7500 0.0000 0.5000
Sb 0.0000 0.5000 0.7500
Sb 0.5000 0.2500 0.0000
Au 0.0000 0.2500 0.5000
Au 0.0000 0.7500 0.5000
Au 0.5000 0.0000 0.7500
Au 0.7500 0.5000 0.0000
Au 0.5000 0.0000 0.2500
Au 0.2500 0.5000 0.0000
Na 0.5000 0.5000 0.5000
Na 0.0000 0.0000 0.0000

Output
* magnetization: 0.00 Bohr magnetons per cell
* E_form (uncorrected): -0.21 eV per formula unit
* symmetry: Pm-3n (223)
* N(E_F): 8.55 states/eV per cell

***

# 11
This record from Alexandria describes NaSb3Au3 after structural relaxation. The functional is PBE.

Cell: 8.3539 8.3539 7.6602 Å, 56.96 56.96 60.00°
Fractional positions:
Na 0.3330 0.3330 0.0010
Na 0.6670 0.6670 0.9990
Sb 0.2322 0.5944 0.2635
Sb 0.9099 0.2322 0.2635
Sb 0.5944 0.9099 0.2635
Sb 0.4056 0.0901 0.7365
Sb 0.0901 0.7678 0.7365
Sb 0.7678 0.4056 0.7365
Au 0.4304 0.7383 0.7512
Au 0.7383 0.0801 0.7512
Au 0.0801 0.4304 0.7512
Au 0.9199 0.5696 0.2488
Au 0.2617 0.9199 0.2488
Au 0.5696 0.2617 0.2488

Output
* magnetization: 0.00 Bohr magnetons per cell
* E_form (uncorrected): -0.89 eV per formula unit
* symmetry: R-3 (148)
* N(E_F): 9.11 states/eV per cell

***

# 12
This record from Alexandria describes NaSb2Au2 after structural relaxation. The functional is PBE.

Cell: 4.7694 4.7694 6.7188 Å, 69.21 69.21 90.00°
Fractional positions:
Sb 0.3763 0.3763 0.2474
Sb 0.6237 0.6237 0.7526
Au 0.7500 0.2500 0.5000
Au 0.2500 0.7500 0.5000
Na 0.0000 0.0000 0.0000

Output
* magnetization: 0.00 Bohr magnetons per cell
* E_form (uncorrected): -0.83 eV per formula unit
* symmetry: I4/mmm (139)
* N(E_F): 1.18 states/eV per cell